(i)
Entry from the Alexandria database: a relaxed structure of SrPr2Sm (PBE-GGA).

## Properties
* D(E_F): 7.049 states/eV/f.u.
* space group: P4/mmm, No. 123
* calculated volume: 38.28 Å³/atom

a b c (Å): 5.3259 5.3621 5.3621
angles (deg): 90.00 90.00 90.00
Fractional positions:
Pr: 0.0000 0.0000 0.5000
Pr: 0.0000 0.5000 0.0000
Sr: 0.5000 0.0000 0.0000
Sm: 0.5000 0.5000 0.5000

(ii)
Entry from the Alexandria database: a relaxed structure of SrPr2Sm (PBE-GGA).

## Properties
* D(E_F): 5.518 states/eV/f.u.
* space group: R3m, No. 160
* calculated volume: 38.74 Å³/atom

a b c (Å): 3.7805 3.7805 12.7079
angles (deg): 81.45 81.45 60.00
Fractional positions:
Sr: 0.5003 0.5003 0.4990
Pr: 0.0774 0.0774 0.7677
Pr: 0.2559 0.2559 0.2324
Sm: 0.6664 0.6664 0.0008

The winner here is (ii), beating the second structure by 64 meV/atom.

(i)
Entry from the Alexandria database: a relaxed structure of SrPr2Sm (PBE-GGA).

## Properties
* D(E_F): 8.923 states/eV/f.u.
* space group: Fm-3m, No. 225
* calculated volume: 38.69 Å³/atom

a b c (Å): 6.0265 6.0265 6.0265
angles (deg): 60.00 60.00 60.00
Fractional positions:
Pr: 0.2500 0.2500 0.2500
Pr: 0.7500 0.7500 0.7500
Sr: 0.5000 0.5000 0.5000
Sm: 0.0000 0.0000 0.0000

(ii)
Entry from the Alexandria database: a relaxed structure of SrPr2Sm (PBE-GGA).

## Properties
* D(E_F): 6.092 states/eV/f.u.
* space group: R-3m, No. 166
* calculated volume: 39.43 Å³/atom

a b c (Å): 3.7112 3.7112 13.3948
angles (deg): 82.04 82.04 60.00
Fractional positions:
Pr: 0.0926 0.0926 0.7221
Pr: 0.9074 0.9074 0.2779
Sr: 0.0000 0.0000 0.0000
Sm: 0.5000 0.5000 0.5000

(iii)
Entry from the Alexandria database: a relaxed structure of SrPr2Sm (PBE-GGA).

## Properties
* D(E_F): 5.756 states/eV/f.u.
* space group: P4/mmm, No. 123
* calculated volume: 38.84 Å³/atom

a b c (Å): 3.7720 3.7720 10.9182
angles (deg): 90.00 90.00 90.00
Fractional positions:
Pr: 0.0000 0.0000 0.7752
Pr: 0.0000 0.0000 0.2248
Sr: 0.5000 0.5000 0.5000
Sm: 0.5000 0.5000 0.0000

The winner here is (iii), beating the second structure by 93 meV/atom.

(i)
Entry from the Alexandria database: a relaxed structure of Tb4Pr2Sm (PBE-GGA).

## Properties
* D(E_F): 9.444 states/eV/f.u.
* space group: P2/m, No. 10
* calculated volume: 34.99 Å³/atom

a b c (Å): 6.9276 7.0613 10.4572
angles (deg): 90.00 90.00 106.73
Fractional positions:
Tb: 0.2693 0.3111 0.2798
Tb: 0.7289 0.1904 0.2155
Tb: 0.2711 0.8096 0.7845
Tb: 0.7307 0.6889 0.7202
Tb: 0.7305 0.6889 0.2798
Tb: 0.7291 0.1904 0.7844
Tb: 0.2709 0.8096 0.2156
Tb: 0.2695 0.3111 0.7202
Pr: 0.0000 0.0000 0.0000
Pr: 0.0000 0.0000 0.5000
Pr: 0.0000 0.5000 0.5000
Pr: 0.5000 0.0000 0.5000
Sm: 0.5000 0.5000 0.0000
Sm: 0.0000 0.5000 0.0000

(ii)
Entry from the Alexandria database: a relaxed structure of Tb4Pr2Sm (PBE-GGA).

## Properties
* D(E_F): 6.962 states/eV/f.u.
* space group: P1, No. 1
* calculated volume: 33.75 Å³/atom

a b c (Å): 9.5781 7.1852 6.8974
angles (deg): 121.34 134.01 89.93
Fractional positions:
Tb: 0.7590 0.3422 0.1310
Tb: 0.3727 0.7886 0.1322
Tb: 0.2393 0.2101 0.8670
Tb: 0.6287 0.6584 0.8687
Pr: 0.7831 0.2834 0.5671
Pr: 0.2159 0.7162 0.4320
Sm: 0.0014 0.0011 0.0020

The winner here is (ii), beating the second structure by 17 meV/atom.

(i)
Entry from the Alexandria database: a relaxed structure of TbPr2Sm2 (PBE-GGA).

## Properties
* D(E_F): 7.605 states/eV/f.u.
* space group: Cmcm, No. 63
* calculated volume: 36.37 Å³/atom

a b c (Å): 6.3696 6.9517 8.9190
angles (deg): 112.94 90.00 90.00
Fractional positions:
Tb: 0.0000 0.0000 0.0000
Tb: 0.5000 0.0000 0.0000
Pr: 0.7500 0.4027 0.8054
Pr: 0.7500 0.8300 0.6600
Pr: 0.2500 0.5973 0.1946
Pr: 0.2500 0.1700 0.3400
Sm: 0.7500 0.4084 0.3391
Sm: 0.2500 0.0693 0.6609
Sm: 0.2500 0.5916 0.6609
Sm: 0.7500 0.9307 0.3391

(ii)
Entry from the Alexandria database: a relaxed structure of TbPr2Sm2 (PBE-GGA).

## Properties
* D(E_F): 8.618 states/eV/f.u.
* space group: C2/c, No. 15
* calculated volume: 34.70 Å³/atom

a b c (Å): 6.3947 8.6921 9.7504
angles (deg): 43.78 70.86 68.42
Fractional positions:
Tb: 0.5835 0.7500 0.2500
Tb: 0.4165 0.2500 0.7500
Pr: 0.7836 0.7536 0.8490
Pr: 0.3861 0.7464 0.6510
Pr: 0.2164 0.2464 0.1510
Pr: 0.6139 0.2536 0.3490
Sm: 0.8181 0.2451 0.9512
Sm: 0.0143 0.2549 0.5488
Sm: 0.1819 0.7549 0.0488
Sm: 0.9857 0.7451 0.4512

The winner here is (ii), beating the second structure by 250 meV/atom.